# 1
First-principles (PBE) data for a relaxed ZrInOs2 crystal, as listed in Alexandria.

a = 7.389 Å, b = 7.389 Å, c = 5.939 Å
α = 51.53°, β = 51.53°, γ = 90.00°
Atoms (fractional coordinates):
1 Zr 0.250 0.750 0.500
2 Zr 0.500 0.500 0.000
3 Os 0.136 0.625 0.250
4 Os 0.875 0.864 0.750
5 Os 0.614 0.125 0.250
6 Os 0.375 0.386 0.750
7 In 0.000 0.000 0.000
8 In 0.750 0.250 0.500

Output
Magnetization = 0.00 μB per formula unit
ρ = 12.6 g cm⁻³
ΔE_f = 0.768 eV/atom

---

# 2
First-principles (PBE) data for a relaxed ZrInOs2 crystal, as listed in Alexandria.

a = 2.936 Å, b = 2.936 Å, c = 9.000 Å
α = 90.00°, β = 90.00°, γ = 113.95°
Atoms (fractional coordinates):
1 Zr 0.500 0.500 0.250
2 In 0.500 0.500 0.750
3 Os 0.000 0.000 0.008
4 Os 0.000 0.000 0.492

Output
Magnetization = 0.00 μB per formula unit
ρ = 13.7 g cm⁻³
ΔE_f = 0.286 eV/atom

---

# 3
First-principles (PBE) data for a relaxed Zr2InOs crystal, as listed in Alexandria.

a = 4.472 Å, b = 3.371 Å, c = 5.727 Å
α = 72.81°, β = 90.00°, γ = 90.00°
Atoms (fractional coordinates):
1 Zr 0.000 0.975 0.923
2 Zr 0.500 0.293 0.290
3 In 0.000 0.701 0.473
4 Os 0.500 0.530 0.814

Output
Magnetization = 0.00 μB per formula unit
ρ = 9.8 g cm⁻³
ΔE_f = -0.228 eV/atom

---

# 4
First-principles (PBE) data for a relaxed ZrInOs2 crystal, as listed in Alexandria.

a = 4.838 Å, b = 4.838 Å, c = 5.108 Å
α = 76.69°, β = 76.69°, γ = 37.40°
Atoms (fractional coordinates):
1 Os 0.497 0.497 0.487
2 Os 0.003 0.003 0.013
3 Zr 0.750 0.750 0.750
4 In 0.250 0.250 0.250

Output
Magnetization = 0.00 μB per formula unit
ρ = 13.8 g cm⁻³
ΔE_f = 0.178 eV/atom

---

# 5
First-principles (PBE) data for a relaxed Zr2InOs crystal, as listed in Alexandria.

a = 3.318 Å, b = 3.318 Å, c = 7.348 Å
α = 90.00°, β = 90.00°, γ = 90.00°
Atoms (fractional coordinates):
1 Zr 0.000 0.000 0.961
2 Zr 0.500 0.500 0.247
3 Os 0.500 0.500 0.761
4 In 0.000 0.000 0.531

Output
Magnetization = 0.00 μB per formula unit
ρ = 10.0 g cm⁻³
ΔE_f = -0.136 eV/atom

---

# 6
First-principles (PBE) data for a relaxed Zr2InOs crystal, as listed in Alexandria.

a = 5.496 Å, b = 5.496 Å, c = 5.496 Å
α = 136.04°, β = 136.04°, γ = 63.91°
Atoms (fractional coordinates):
1 In 0.500 0.500 0.000
2 Os 0.750 0.250 0.500
3 Zr 0.250 0.750 0.500
4 Zr 0.000 0.000 0.000

Output
Magnetization = 0.00 μB per formula unit
ρ = 10.3 g cm⁻³
ΔE_f = -0.131 eV/atom

---

# 7
First-principles (PBE) data for a relaxed ZrIn3Os crystal, as listed in Alexandria.

a = 5.479 Å, b = 5.479 Å, c = 5.479 Å
α = 90.00°, β = 90.00°, γ = 90.00°
Site moments in Bohr magnetons follow the coordinates.
Atoms (fractional coordinates):
1 Zr 0.000 0.000 0.000  -0.03
2 In 0.000 0.500 0.000  -0.03
3 In 0.000 0.000 0.500  -0.02
4 In 0.500 0.000 0.000  0.01
5 Os 0.500 0.500 0.500  2.74

Output
Magnetization = 2.93 μB per formula unit
ρ = 6.3 g cm⁻³
ΔE_f = 1.775 eV/atom

---

# 8
First-principles (PBE) data for a relaxed ZrIn3Os crystal, as listed in Alexandria.

a = 5.085 Å, b = 5.085 Å, c = 5.085 Å
α = 90.00°, β = 90.00°, γ = 90.00°
Site moments in Bohr magnetons follow the coordinates.
Atoms (fractional coordinates):
1 In 0.000 0.000 0.500  -0.01
2 In 0.500 0.000 0.000  0.01
3 In 0.000 0.500 0.000  -0.01
4 Zr 0.500 0.500 0.500  0.63
5 Os 0.000 0.000 0.000  0.09

Output
Magnetization = 1.06 μB per formula unit
ρ = 7.9 g cm⁻³
ΔE_f = 0.682 eV/atom

---

# 9
First-principles (PBE) data for a relaxed In3P crystal, as listed in Alexandria.

a = 5.224 Å, b = 5.224 Å, c = 5.882 Å
α = 68.22°, β = 68.22°, γ = 42.99°
Atoms (fractional coordinates):
1 P 0.000 0.000 0.000
2 In 0.500 0.500 0.500
3 In 0.716 0.716 0.789
4 In 0.284 0.284 0.211

Output
Magnetization = 0.00 μB per formula unit
ρ = 6.2 g cm⁻³
ΔE_f = 0.141 eV/atom

---

# 10
First-principles (PBE) data for a relaxed InP2 crystal, as listed in Alexandria.

a = 5.809 Å, b = 5.809 Å, c = 5.809 Å
α = 128.52°, β = 128.50°, γ = 75.80°
Atoms (fractional coordinates):
1 P 0.246 0.996 0.250
2 P 0.996 0.246 0.750
3 P 0.754 0.004 0.750
4 P 0.004 0.754 0.250
5 In 0.625 0.375 0.250
6 In 0.375 0.625 0.750

Output
Magnetization = 0.00 μB per formula unit
ρ = 5.0 g cm⁻³
ΔE_f = 0.107 eV/atom

---

# 11
First-principles (PBE) data for a relaxed In3P crystal, as listed in Alexandria.

a = 3.562 Å, b = 3.562 Å, c = 7.637 Å
α = 90.00°, β = 90.00°, γ = 90.02°
Atoms (fractional coordinates):
1 In 0.000 0.000 0.454
2 In 0.000 0.000 0.046
3 In 0.500 0.500 0.750
4 P 0.500 0.500 0.250

Output
Magnetization = 0.00 μB per formula unit
ρ = 6.4 g cm⁻³
ΔE_f = 0.127 eV/atom

---

# 12
First-principles (PBE) data for a relaxed In3P crystal, as listed in Alexandria.

a = 7.903 Å, b = 7.903 Å, c = 7.903 Å
α = 28.78°, β = 28.78°, γ = 28.78°
Atoms (fractional coordinates):
1 In 0.500 0.500 0.500
2 In 0.735 0.735 0.735
3 In 0.265 0.265 0.265
4 P 0.000 0.000 0.000

Output
Magnetization = 0.00 μB per formula unit
ρ = 6.2 g cm⁻³
ΔE_f = -0.007 eV/atom